Crystalline Tl2FeSb at its relaxed geometry. Source: the Alexandria database, functional PBE.

Output
total DFT energy (no corrections): -4.056 eV per atom
DOS at the Fermi energy: 3.0 states/eV/f.u.
theoretical density: 9.80 g/cm³
ΔE to the lowest computed polymorph: 25 meV/atom

The structure in POSCAR format:
```
Tl2FeSb
1.0
-2.8210 -1.6919 1.2139
-0.1675 -3.5018 0.0610
3.1597 -1.0901 8.9834
Tl Sb Fe
2 1 1
Cartesian
-0.1003 -4.7704 7.2579
3.0346 -1.2907 9.0105
0.4038 -1.3727 3.0843
0.0782 -3.0820 5.0182
```

=====

Crystalline Dy3FeSe at its relaxed geometry. Source: the Alexandria database, functional PBE.

Output
total DFT energy (no corrections): -5.834 eV per atom
DOS at the Fermi energy: 4.7 states/eV/f.u.
theoretical density: 8.62 g/cm³

The structure in POSCAR format:
```
Dy3FeSe
1.0
-2.8984 1.7116 1.8397
-5.3909 -4.4831 -4.3221
1.8169 -4.0513 6.6316
Dy Se Fe
6 2 2
Cartesian
-3.3184 -3.5930 0.1144
0.1743 -2.6623 4.7511
-3.1539 -3.2298 4.0349
-3.3263 -0.1227 0.8725
-3.1460 -6.7001 3.2767
-6.6466 -4.1605 -0.6019
-5.1597 -4.6459 2.1923
-1.3126 -2.1770 1.9570
-5.1183 -1.4586 -0.7078
-1.3540 -5.3642 4.8571
```

=====

Crystalline AsPAuCl2 at its relaxed geometry. Source: the Alexandria database, functional PBE.

Output
total DFT energy (no corrections): -2.727 eV per atom
DOS at the Fermi energy: 3.2 states/eV/f.u.
theoretical density: 5.12 g/cm³
ΔE to the lowest computed polymorph: 172 meV/atom

The structure in POSCAR format:
```
AsPAuCl2
1.0
4.8517 0.0000 0.0000
0.0000 4.8517 0.0000
0.0000 0.0000 5.1485
As Au P Cl
1 1 1 2
Cartesian
2.4259 2.4259 2.5742
0.0000 0.0000 0.0000
0.0000 0.0000 2.5742
2.4259 0.0000 0.0000
0.0000 2.4259 0.0000
```

=====

Crystalline Ba2ReMoH at its relaxed geometry. Source: the Alexandria database, functional PBE.

Output
total DFT energy (no corrections): -4.974 eV per atom
DOS at the Fermi energy: 5.3 states/eV/f.u.
theoretical density: 5.00 g/cm³

The structure in POSCAR format:
```
Ba2ReMoH
1.0
-6.1944 0.4806 0.9451
0.4648 -2.1577 4.1439
0.8585 5.5608 2.7992
Ba Re Mo H
2 1 1 1
Cartesian
-3.0972 0.2403 0.4725
0.4293 2.7804 1.3996
0.0000 0.0000 0.0000
0.2324 -1.0789 2.0720
-2.4355 1.9418 3.9441
```

=====

Crystalline MoOs2Cl at its relaxed geometry. Source: the Alexandria database, functional PBE.

Output
total DFT energy (no corrections): -7.576 eV per atom
DOS at the Fermi energy: 4.2 states/eV/f.u.
theoretical density: 13.92 g/cm³
ΔE to the lowest computed polymorph: 736 meV/atom

The structure in POSCAR format:
```
MoOs2Cl
1.0
4.7051 0.0272 0.0000
-1.0980 4.5752 0.0000
0.0000 0.0000 2.8318
Os Cl Mo
2 1 1
Cartesian
1.8035 2.3012 0.0000
0.0000 0.0000 0.0000
2.3525 0.0136 1.4159
-0.5490 2.2876 1.4159
```

=====

Crystalline GeTe2PI at its relaxed geometry. Source: the Alexandria database, functional PBE.

Output
total DFT energy (no corrections): -3.041 eV per atom
DOS at the Fermi energy: 2.7 states/eV/f.u.
theoretical density: 5.38 g/cm³
ΔE to the lowest computed polymorph: 0 meV/atom

The structure in POSCAR format:
```
GeTe2PI
1.0
-1.6831 2.2188 4.5520
-4.8642 -2.0424 -0.8030
1.3902 -4.3457 2.6322
Te P Ge I
2 1 1 1
Cartesian
-2.4321 -1.0212 -0.4015
-0.8415 1.1094 2.2760
0.0000 0.0000 0.0000
-2.5785 -2.0847 3.1906
0.6951 -2.1729 1.3161
```

=====

Crystalline TbTm2Bi4 at its relaxed geometry. Source: the Alexandria database, functional PBE.

Output
total DFT energy (no corrections): -4.714 eV per atom
DOS at the Fermi energy: 3.0 states/eV/f.u.
theoretical density: 10.32 g/cm³
energy of formation: -3.90 eV/f.u.

The structure in POSCAR format:
```
TbTm2Bi4
1.0
4.4829 0.0000 0.0000
-2.2414 5.6555 0.0000
0.0000 0.0000 16.9195
Tb Bi Tm
2 8 4
Cartesian
0.0000 4.9878 4.2299
2.2414 0.6677 12.6896
2.2414 3.9715 12.6896
2.2414 3.9396 2.0508
0.0000 1.6840 4.2299
0.0000 1.7159 14.8687
2.2414 0.0000 8.4598
2.2414 0.0000 0.0000
2.2414 3.9396 6.4089
0.0000 1.7159 10.5106
2.2414 3.8514 9.7104
2.2414 3.8514 15.6689
0.0000 1.8041 7.2092
0.0000 1.8041 1.2506
```

=====

Crystalline ScAl3Ni at its relaxed geometry. Source: the Alexandria database, functional PBE.

Output
total DFT energy (no corrections): -4.882 eV per atom
DOS at the Fermi energy: 3.1 states/eV/f.u.
theoretical density: 3.43 g/cm³
energy of formation: -1.07 eV/f.u.
ΔE to the lowest computed polymorph: 335 meV/atom

The structure in POSCAR format:
```
ScAl3Ni
1.0
-1.4166 -4.2186 0.4506
1.6853 -0.9954 -4.0219
3.8935 -1.1040 1.9047
Al Ni Sc
3 1 1
Cartesian
-0.7083 -2.1093 0.2253
1.9468 -0.5520 0.9524
0.8426 -0.4977 -2.0109
0.0000 0.0000 0.0000
2.0811 -3.1590 -0.8333
```

=====

Crystalline AcLa2HoS4 at its relaxed geometry. Source: the Alexandria database, functional PBE.

Output
total DFT energy (no corrections): -6.432 eV per atom
DOS at the Fermi energy: 5.0 states/eV/f.u.
theoretical density: 6.63 g/cm³

The structure in POSCAR format:
```
AcLa2HoS4
1.0
-0.8147 0.2555 4.0072
-1.3178 -7.0917 0.1843
6.9349 1.1189 1.3385
La S Ac Ho
2 4 1 1
Cartesian
2.8086 -2.9864 0.7614
3.0601 0.6872 2.6729
0.6755 -4.9106 0.4504
4.9417 -1.0622 1.0724
0.9600 -1.4823 2.3843
3.8425 -4.2350 3.1458
0.0000 0.0000 0.0000
-1.0662 -3.4181 2.0958
```

=====

Crystalline PmGdSnPt at its relaxed geometry. Source: the Alexandria database, functional PBE.

Output
total DFT energy (no corrections): -8.035 eV per atom
DOS at the Fermi energy: 2.9 states/eV/f.u.
theoretical density: 10.09 g/cm³
energy of formation: -3.27 eV/f.u.

The structure in POSCAR format:
```
PmGdSnPt
1.0
-0.1846 1.1808 5.0961
-4.5614 1.2784 2.2268
-2.2819 -3.2931 3.3686
Pt Pm Sn Gd
1 1 1 1
Cartesian
-5.2708 -0.6254 8.0186
0.0000 0.0000 0.0000
-1.7569 -0.2085 2.6729
-3.5139 -0.4169 5.3457
```